(1)
DyTlPb: optimized geometry, GGA-PBE.

Values from the calculation:
* space group: No. 107
* offset from the most stable computed form: 0.46 eV per formula unit

CIF file:
```
data_DyTlPb
_cell_length_a 3.8505
_cell_length_b 3.8505
_cell_length_c 6.3976
_cell_angle_alpha 107.51
_cell_angle_beta 107.51
_cell_angle_gamma 90.00
_space_group_name_H-M_alt 'P 1'
_space_group_IT_number 1
loop_
_space_group_symop_operation_xyz
'x,y,z'
loop_
_atom_site_label
_atom_site_type_symbol
_atom_site_fract_x
_atom_site_fract_y
_atom_site_fract_z
_atom_site_occupancy
Pb1 Pb 0.6221 0.6221 0.2441 1
Dy1 Dy 0.9467 0.9467 0.8935 1
Tl1 Tl 0.2812 0.2812 0.5624 1
```


(2)
DyTlPb: optimized geometry, GGA-PBE.

Values from the calculation:
* space group: No. 139
* offset from the most stable computed form: 0.67 eV per formula unit

CIF file:
```
data_DyTlPb
_cell_length_a 4.2135
_cell_length_b 4.2135
_cell_length_c 11.2668
_cell_angle_alpha 100.78
_cell_angle_beta 100.78
_cell_angle_gamma 90.00
_space_group_name_H-M_alt 'P 1'
_space_group_IT_number 1
loop_
_space_group_symop_operation_xyz
'x,y,z'
loop_
_atom_site_label
_atom_site_type_symbol
_atom_site_fract_x
_atom_site_fract_y
_atom_site_fract_z
_atom_site_occupancy
Dy1 Dy 0.3719 0.3719 0.7438 1
Dy2 Dy 0.6281 0.6281 0.2562 1
Tl1 Tl 0.7798 0.7798 0.5595 1
Tl2 Tl 0.2202 0.2202 0.4405 1
Pb1 Pb 0.9256 0.9256 0.8513 1
Pb2 Pb 0.0744 0.0744 0.1487 1
```


(3)
Dy2TlPb4: optimized geometry, GGA-PBE.

Values from the calculation:
* space group: No. 12

CIF file:
```
data_Dy2TlPb4
_cell_length_a 6.7737
_cell_length_b 6.7737
_cell_length_c 6.6873
_cell_angle_alpha 120.45
_cell_angle_beta 120.45
_cell_angle_gamma 89.61
_space_group_name_H-M_alt 'P 1'
_space_group_IT_number 1
loop_
_space_group_symop_operation_xyz
'x,y,z'
loop_
_atom_site_label
_atom_site_type_symbol
_atom_site_fract_x
_atom_site_fract_y
_atom_site_fract_z
_atom_site_occupancy
Pb1 Pb 0.2857 0.2857 0.0713 1
Pb2 Pb 0.7857 0.2857 0.0714 1
Pb3 Pb 0.7859 0.7859 0.0717 1
Pb4 Pb 0.2857 0.7857 0.0714 1
Dy1 Dy 0.7856 0.2857 0.5714 1
Dy2 Dy 0.2857 0.7856 0.5714 1
Tl1 Tl 0.7857 0.7857 0.5714 1
```


(4)
Dy3TlPb12: optimized geometry, GGA-PBE.

Values from the calculation:
* space group: No. 123

CIF file:
```
data_Dy3TlPb12
_cell_length_a 4.8602
_cell_length_b 4.8602
_cell_length_c 20.0862
_cell_angle_alpha 90.00
_cell_angle_beta 90.00
_cell_angle_gamma 90.00
_space_group_name_H-M_alt 'P 1'
_space_group_IT_number 1
loop_
_space_group_symop_operation_xyz
'x,y,z'
loop_
_atom_site_label
_atom_site_type_symbol
_atom_site_fract_x
_atom_site_fract_y
_atom_site_fract_z
_atom_site_occupancy
Dy1 Dy 0.0000 0.0000 0.5000 1
Dy2 Dy 0.0000 0.0000 0.7376 1
Dy3 Dy 0.0000 0.0000 0.2624 1
Pb1 Pb 0.0000 0.5000 0.3786 1
Pb2 Pb 0.5000 0.5000 0.5000 1
Pb3 Pb 0.0000 0.5000 0.8707 1
Pb4 Pb 0.5000 0.5000 0.0000 1
Pb5 Pb 0.0000 0.5000 0.1293 1
Pb6 Pb 0.5000 0.5000 0.7482 1
Pb7 Pb 0.5000 0.0000 0.8707 1
Pb8 Pb 0.0000 0.5000 0.6214 1
Pb9 Pb 0.5000 0.0000 0.1293 1
Pb10 Pb 0.5000 0.5000 0.2518 1
Pb11 Pb 0.5000 0.0000 0.3786 1
Pb12 Pb 0.5000 0.0000 0.6214 1
Tl1 Tl 0.0000 0.0000 0.0000 1
```


Going through the records in order, we get DFT total energy values of -0.2726, -0.2675, -0.2934, -0.2936 Ry per atom.
Going through the records in order, we get ΔE_f values of -0.1496, -0.0810, -0.2194, -0.2030 eV per atom.